Below is SrFeHg2 after structural relaxation, with properties calculated at the PBE-GGA level.

Cell: 5.436 5.436 5.436 Å, 131.93 118.34 81.78°
Sites, in units of the cell vectors:
Sr: 0.000 0.000 0.000
Fe: 0.500 0.500 0.000
Hg: 0.293 0.793 0.500
Hg: 0.707 0.207 0.500

Summary:
* VASP energy: -2.5450 eV/atom
* SG: Immm
* total magnetization: 0.70 μB/atom
* energy of formation: 142 meV per atom